MnRuNO | PBE with a Hubbard U | optimized geometry

Output
Energy above the lowest structure with this stoichiometry, meV/atom: 60.9
Electronic total energy, Ry per atom: -0.578
D(E_F), states/eV/cell: 2.39
Total magnetic moment, μB/f.u.: 4.938
Crystal system: monoclinic

Cell and atoms, written as POSCAR:
```
MnRuNO
1.0
6.310 0.000 0.196
0.000 2.941 0.000
-1.604 0.000 4.808
Ru Mn N O
2 2 2 2
direct
0.516 0.000 0.651 Ru
0.516 0.500 0.151 Ru
0.991 0.500 0.301 Mn
0.991 0.000 0.801 Mn
0.712 0.500 0.886 N
0.712 0.000 0.386 N
0.186 0.500 0.036 O
0.186 0.000 0.536 O
```